Below is a relaxed structure of CrSeOF2, with properties calculated at the GGA+U level. Values from VASP.

Calculated values
Final energy (eV/atom): -4.842
N(E_F) (states/eV/atom): 0.51
V (Å³/atom): 12.8
SG: No. 123

Geometry as Quantum ESPRESSO input:
```
&SYSTEM
  ibrav = 0, nat = 5, ntyp = 4
/
ATOMIC_SPECIES
Cr 52.00 Cr.upf
Se 78.96 Se.upf
O 16.00 O.upf
F 19.00 F.upf
ATOMIC_POSITIONS crystal
Cr 0.000 0.000 0.000
Se 0.500 0.500 0.500
O 0.000 0.000 0.500
F 0.000 0.500 0.000
F 0.500 0.000 0.000
CELL_PARAMETERS angstrom
3.969 0.000 0.000
0.000 3.969 0.000
0.000 0.000 4.065
```